[1]
The following is a DFT calculation (PBE-GGA) of a geometry-optimized Ac8CePb5 structure.

```
Ac8CePb5
1.0
8.936 0.026 -0.044
-2.999 8.418 0.044
-2.938 -4.244 7.295
Pb Ac Ce
5 8 1
Direct
0.500 0.000 0.500
0.370 0.124 0.990
0.754 0.620 0.630
0.867 0.876 0.246
0.010 0.380 0.133
0.123 0.760 0.515
0.971 0.099 0.729
0.485 0.608 0.245
0.271 0.241 0.370
0.630 0.901 0.871
0.129 0.759 0.029
0.755 0.240 0.363
0.637 0.392 0.877
0.250 0.500 0.750
```

Results
Space group: I-4, No. 82
Density in Mg/m³: 9.04
Fermi-level density of states in states/eV per cell: 19.70

---

[2]
The following is a DFT calculation (PBE-GGA) of a geometry-optimized Ac4CePb2 structure.

```
Ac4CePb2
1.0
-1.500 -3.214 -8.054
3.894 -7.553 2.289
-4.331 4.100 3.979
Ac Pb Ce
4 2 1
Direct
0.117 0.117 0.828
0.711 0.711 0.828
0.289 0.883 0.172
0.883 0.289 0.172
0.750 0.250 0.500
0.250 0.750 0.500
0.500 0.500 0.000
```

Results
Space group: I-42m, No. 121
Density in Mg/m³: 8.81
Fermi-level density of states in states/eV per cell: 14.99

---

[3]
The following is a DFT calculation (PBE-GGA) of a geometry-optimized AcCe2Pb2 structure.

```
AcCe2Pb2
1.0
-4.039 -2.789 -4.640
1.798 -4.635 -4.569
-1.761 -5.566 -0.052
Ce Pb Ac
2 2 1
Direct
0.399 0.400 0.462
0.601 0.600 0.538
0.756 0.756 0.823
0.244 0.244 0.177
0.000 0.000 0.000
```

Results
Space group: C2/m, No. 12
E above lowest polymorph in meV per atom: 109
Density in Mg/m³: 9.37
Fermi-level density of states in states/eV per cell: 10.79

---

Short version: energy relative to the elements = -0.31, -0.03, -0.19 eV per atom, in the order given.